# 1
First-principles (GGA-PBE) data for an optimized crystal structure of TbBiPb2O5, as listed in Alexandria.

Output
E_tot ... -0.2313 hartree per atom
Formation energy without anion corrections ... -1771 meV/atom

Cell: 3.709 7.137 13.096 Å, 90.00 90.00 105.06°
Sites, in units of the cell vectors:
O (0.563, 0.126, 0.567)
O (0.715, 0.430, 0.899)
O (0.622, 0.244, 0.360)
O (0.218, 0.436, 0.608)
O (0.095, 0.189, 0.019)
O (0.285, 0.570, 0.399)
O (0.905, 0.811, 0.519)
O (0.782, 0.564, 0.108)
O (0.437, 0.874, 0.067)
O (0.378, 0.756, 0.860)
Pb (0.821, 0.642, 0.767)
Pb (0.179, 0.358, 0.267)
Pb (0.930, 0.861, 0.168)
Pb (0.070, 0.139, 0.668)
Tb (0.730, 0.461, 0.497)
Tb (0.270, 0.539, 0.997)
Bi (0.545, 0.091, 0.939)
Bi (0.455, 0.909, 0.439)



# 2
First-principles (GGA-PBE) data for an optimized crystal structure of Cd4CuHg2, as listed in Alexandria.

Output
E_tot ... -0.0423 hartree per atom
Formation enthalpy at 0 K ... 0.044 eV/atom
ΔE to the lowest computed polymorph ... 0.0 kJ/mol of atoms

Cell: 4.668 5.602 6.901 Å, 109.94 109.77 90.00°
Sites, in units of the cell vectors:
Hg (0.776, 0.741, 0.553)
Hg (0.224, 0.259, 0.447)
Cd (0.448, 0.716, 0.896)
Cd (0.880, 0.312, 0.760)
Cd (0.120, 0.688, 0.240)
Cd (0.552, 0.284, 0.104)
Cu (0.000, 0.000, 0.000)



# 3
First-principles (GGA-PBE) data for an optimized crystal structure of DyTiMo, as listed in Alexandria.

Output
E_tot ... -0.2813 hartree per atom
Formation enthalpy at 0 K ... 0.122 eV/atom

Cell: 3.180 3.180 12.966 Å, 97.04 97.04 90.00°
Each line ends with the local moment (μB).
Sites, in units of the cell vectors:
Dy (0.068, 0.068, 0.136)  0.20
Dy (0.932, 0.932, 0.864)  0.20
Mo (0.780, 0.780, 0.560)  -0.02
Mo (0.220, 0.220, 0.440)  -0.02
Ti (0.342, 0.342, 0.684)  0.28
Ti (0.658, 0.658, 0.316)  0.28



# 4
First-principles (GGA-PBE) data for an optimized crystal structure of PaCrTcW, as listed in Alexandria.

Output
E_tot ... -0.3841 hartree per atom
Formation enthalpy at 0 K ... 0.157 eV/atom

Cell: 4.573 4.573 4.573 Å, 60.00 60.00 60.00°
Sites, in units of the cell vectors:
Cr (0.000, 0.000, 0.000)
Pa (0.250, 0.250, 0.250)
Tc (0.500, 0.500, 0.500)
W (0.750, 0.750, 0.750)



# 5
First-principles (GGA-PBE) data for an optimized crystal structure of PmCdIn2, as listed in Alexandria.

Output
E_tot ... -0.1109 hartree per atom
Formation enthalpy at 0 K ... -0.233 eV/atom
ΔE to the lowest computed polymorph ... 18.5 kJ/mol of atoms

Cell: 3.745 3.745 7.475 Å, 90.00 90.00 90.00°
Sites, in units of the cell vectors:
Cd (0.500, 0.500, 0.000)
In (0.000, 0.000, 0.779)
In (0.000, 0.000, 0.221)
Pm (0.500, 0.500, 0.500)



# 6
First-principles (GGA-PBE) data for an optimized crystal structure of TbDy2Sc4, as listed in Alexandria.

Output
E_tot ... -0.1966 hartree per atom
Formation enthalpy at 0 K ... 0.244 eV/atom
ΔE to the lowest computed polymorph ... 6.9 kJ/mol of atoms

Cell: 6.483 6.483 6.483 Å, 122.34 103.45 103.45°
Each line ends with the local moment (μB).
Sites, in units of the cell vectors:
Sc (0.615, 0.308, 0.308)  0.27
Sc (0.000, 0.692, 0.308)  0.27
Sc (0.000, 0.308, 0.692)  0.27
Sc (0.385, 0.692, 0.692)  0.27
Dy (0.500, 0.750, 0.250)  0.25
Dy (0.500, 0.250, 0.750)  0.25
Tb (0.000, 0.000, 0.000)  0.16



# 7
First-principles (GGA-PBE) data for an optimized crystal structure of LiBiAs, as listed in Alexandria.

Output
E_tot ... -0.1306 hartree per atom
Formation enthalpy at 0 K ... -0.073 eV/atom
ΔE to the lowest computed polymorph ... 8.1 kJ/mol of atoms

Cell: 3.129 5.185 5.185 Å, 120.00 90.00 90.00°
Sites, in units of the cell vectors:
Bi (0.168, 0.333, 0.667)
Li (0.667, 0.667, 0.333)
As (0.165, 0.000, 0.000)



# 8
First-principles (GGA-PBE) data for an optimized crystal structure of Cs2AcPbCl6, as listed in Alexandria.

Output
E_tot ... -0.1423 hartree per atom
Formation energy without anion corrections ... -1812 meV/atom

Cell: 8.011 8.426 12.768 Å, 90.00 90.00 90.00°
Each line ends with the local moment (μB).
Sites, in units of the cell vectors:
Pb (0.500, 0.352, 0.500)  -0.31
Pb (0.000, 0.648, 0.000)  -0.31
Cs (0.000, 0.249, 0.242)  0.00
Cs (0.500, 0.751, 0.742)  0.00
Cs (0.000, 0.249, 0.758)  0.00
Cs (0.500, 0.751, 0.258)  0.00
Cl (0.272, 0.876, 0.000)  0.00
Cl (0.731, 0.630, 0.500)  -0.01
Cl (0.772, 0.124, 0.500)  0.00
Cl (0.769, 0.370, 0.000)  -0.01
Cl (0.269, 0.630, 0.500)  -0.01
Cl (0.000, 0.844, 0.723)  -0.01
Cl (0.500, 0.156, 0.777)  -0.01
Cl (0.728, 0.876, 0.000)  0.00
Cl (0.500, 0.156, 0.223)  -0.01
Cl (0.228, 0.124, 0.500)  0.00
Cl (0.231, 0.370, 0.000)  -0.01
Cl (0.000, 0.844, 0.277)  -0.01
Ac (0.500, 0.144, 0.000)  -0.01
Ac (0.000, 0.856, 0.500)  -0.01



# 9
First-principles (GGA-PBE) data for an optimized crystal structure of ZnPd4Pt2, as listed in Alexandria.

Output
E_tot ... -0.1816 hartree per atom
Formation enthalpy at 0 K ... -0.067 eV/atom
ΔE to the lowest computed polymorph ... 10.7 kJ/mol of atoms

Cell: 5.089 5.089 9.172 Å, 103.88 103.88 97.79°
Sites, in units of the cell vectors:
Pd (0.186, 0.247, 0.839)
Pd (0.333, 0.721, 0.753)
Pd (0.971, 0.083, 0.253)
Pd (0.968, 0.580, 0.247)
Pd (0.830, 0.718, 0.747)
Pd (0.597, 0.157, 0.661)
Pd (0.407, 0.347, 0.161)
Pd (0.497, 0.936, 0.339)
Pt (0.759, 0.161, 0.971)
Pt (0.038, 0.940, 0.529)
Pt (0.190, 0.788, 0.029)
Pt (0.411, 0.509, 0.471)
Zn (0.650, 0.650, 0.000)
Zn (0.900, 0.400, 0.500)



# 10
First-principles (GGA-PBE) data for an optimized crystal structure of K2TlMo, as listed in Alexandria.

Output
E_tot ... -0.1112 hartree per atom
Formation enthalpy at 0 K ... 0.823 eV/atom
ΔE to the lowest computed polymorph ... 6.0 kJ/mol of atoms

Cell: 4.900 4.900 8.690 Å, 73.62 73.62 60.00°
Each line ends with the local moment (μB).
Sites, in units of the cell vectors:
K (0.781, 0.781, 0.658)  0.00
K (0.969, 0.969, 0.092)  0.00
Tl (0.208, 0.208, 0.375)  -0.09
Mo (0.542, 0.542, 0.375)  2.65



# 11
First-principles (GGA-PBE) data for an optimized crystal structure of Ca2SiNiCl, as listed in Alexandria.

Output
E_tot ... -0.1369 hartree per atom
Formation energy without anion corrections ... -314 meV/atom

Cell: 5.279 4.152 5.279 Å, 90.00 90.00 90.00°
Sites, in units of the cell vectors:
Ca (0.500, 0.000, 0.000)
Ca (0.000, 0.000, 0.500)
Cl (0.000, 0.000, 0.000)
Si (0.500, 0.500, 0.500)
Ni (0.000, 0.500, 0.000)



# 12
First-principles (GGA-PBE) data for an optimized crystal structure of Na3MgCd, as listed in Alexandria.

Output
E_tot ... -0.0414 hartree per atom
Formation enthalpy at 0 K ... 0.167 eV/atom
ΔE to the lowest computed polymorph ... 0.0 kJ/mol of atoms

Cell: 3.124 5.819 9.385 Å, 108.06 90.00 90.00°
Sites, in units of the cell vectors:
Na (0.500, 0.359, 0.212)
Na (0.500, 0.853, 0.212)
Na (0.000, 0.776, 0.552)
Cd (0.000, 0.442, 0.884)
Mg (0.500, 0.941, 0.883)